# BaHg4 (meta-GGA SCAN, PBEsol geometry)
# - offset from the most stable computed form (eV/atom) = 0.437
# - energy (eV per formula unit) = -312.40
data_BaHg4
_cell_length_a 6.453
_cell_length_b 6.453
_cell_length_c 6.453
_cell_angle_alpha 109.47
_cell_angle_beta 109.47
_cell_angle_gamma 109.47
_space_group_name_H-M_alt 'P 1'
_space_group_IT_number 1
_space_group_name_Hall 'P 1'
loop_
_atom_site_label
_atom_site_type_symbol
_atom_site_fract_x
_atom_site_fract_y
_atom_site_fract_z
Ba1 Ba 0.000 0.000 0.000
Hg1 Hg 0.500 0.000 0.000
Hg2 Hg 0.500 0.500 0.500
Hg3 Hg 0.000 0.500 0.000
Hg4 Hg 0.000 0.000 0.500